BaZrV2O8 | PBE+U | optimized geometry

POSCAR file:
```
BaZrV2O8
1.0
5.7237 0.0000 0.0000
-2.8619 4.9569 0.0000
0.0000 0.0000 7.4185
O Ba V Zr
8 1 2 1
direct
0.1632 0.3283 0.6795
0.3283 0.1651 0.3205
0.3333 0.6667 0.9778
0.8368 0.6717 0.3205
0.6717 0.8349 0.6795
0.8349 0.1632 0.3205
0.1651 0.8368 0.6795
0.6667 0.3333 0.0222
0.0000 0.0000 0.0000
0.3333 0.6667 0.7523
0.6667 0.3333 0.2477
0.0000 0.0000 0.5000
```

V (Å³/cell): 210.48
Density (g cm⁻³): 3.62
E_tot (eV for the cell shown): -95.40